A.
KAl3Sb | PBE | relaxed

For the size of the total moment, the calculation gives 0.00 μB/atom.

The space group is Pm-3m (No. 221) and the conventional cell measures 5.582, 5.582 and 5.582 Å, with angles of 90.00, 90.00 and 90.00 degrees. Symmetry generates all atoms from K at (0.000, 0.000, 0.000), Al at (0.000, 0.500, 0.500) and Sb at (0.500, 0.500, 0.500).

B.
KAl3Sb | PBE | relaxed

For the size of the total moment, the calculation gives 0.00 μB/atom.

The space group is Pm-3m (No. 221) and the conventional cell measures 5.643, 5.643 and 5.643 Å, with angles of 90.00, 90.00 and 90.00 degrees. Symmetry generates all atoms from K at (0.000, 0.000, 0.000), Al at (0.000, 0.000, 0.500) and Sb at (0.500, 0.500, 0.500).

Quick one: most stable of them? A

A.
KSc2Al2 | PBE | relaxed

For the size of the total moment, the calculation gives 0.00 μB/atom.

The space group is I4/mmm (No. 139) and the conventional cell measures 4.588, 4.588 and 13.638 Å, with angles of 90.00, 90.00 and 90.00 degrees. Symmetry generates all atoms from K at (0.000, 0.000, 0.000), Sc at (0.000, 0.000, 0.371) and Al at (0.000, 0.500, 0.250).

B.
KSc2Al2 | PBE | relaxed

For the size of the total moment, the calculation gives 0.00 μB/atom.

The space group is P4/mbm (No. 127) and the conventional cell measures 8.751, 8.751 and 3.184 Å, with angles of 90.00, 90.00 and 90.00 degrees. Symmetry generates all atoms from K at (0.000, 0.000, 0.000), Sc at (0.173, 0.327, 0.500) and Al at (0.114, 0.614, 0.000).

Quick one: most stable of them? B

A.
K2AlSi | PBE | relaxed

For the size of the total moment, the calculation gives 0.15 μB/atom.

The space group is I4/mmm (No. 139) and the conventional cell measures 4.455, 4.455 and 11.073 Å, with angles of 90.00, 90.00 and 90.00 degrees. Symmetry generates all atoms from K at (0.000, 0.500, 0.250), Al at (0.000, 0.000, 0.000) and Si at (0.000, 0.000, 0.500).

B.
K2AlSi | PBE | relaxed

For the size of the total moment, the calculation gives 0.00 μB/atom.

The space group is P4/mmm (No. 123) and the conventional cell measures 6.571, 6.571 and 2.891 Å, with angles of 90.00, 90.00 and 90.00 degrees. Symmetry generates all atoms from K at (0.000, 0.500, 0.000), Al at (0.000, 0.000, 0.500) and Si at (0.500, 0.500, 0.500).

C.
K2AlSi | PBE | relaxed

For the size of the total moment, the calculation gives 0.04 μB/atom.

The space group is R-3m (No. 166, hexagonal axes) and the conventional cell measures 3.3438, 3.3438 and 34.8543 Å, with angles of 90.00, 90.00 and 120.00 degrees. Symmetry generates all atoms from K at (0.0000, 0.0000, 0.2467), Al at (0.0000, 0.0000, 0.0000) and Si at (0.0000, 0.0000, 0.5000).

Quick one: most stable of them? A